Compound: BeAs4Ru
Source: Alexandria via LeMat-Bulk
Functional: PBE
Structure: optimized geometry

```
data_BeAs4Ru
_chemical_formula_sum 'Be4 As16 Ru4'
_cell_length_a 7.5863
_cell_length_b 7.5863
_cell_length_c 7.5863
_cell_angle_alpha 90.00
_cell_angle_beta 90.00
_cell_angle_gamma 90.00
_symmetry_space_group_name_H-M 'F -4 3 m'
_symmetry_Int_Tables_number 216
_symmetry_space_group_name_Hall 'F -4 2 3'
loop_
_atom_site_label
_atom_site_type_symbol
_atom_site_fract_x
_atom_site_fract_y
_atom_site_fract_z
Be1 Be 0.0000 0.0000 0.0000
As1 As 0.1255 0.1255 0.3745
Ru1 Ru 0.2500 0.2500 0.7500
```

Output
Total magnetic moment, μB per formula unit: 1.52
ΔE_f, eV per atom: 0.978